1.
Entry from Alexandria via LeMat-Bulk: InCoRu after structural relaxation (PBE).

Geometry as POSCAR:
```
InCoRu
1.0
5.423 0.000 -0.006
0.000 2.937 0.000
-1.252 0.000 5.907
Ru Co In
2 2 2
Cartesian
2.162 1.468 2.202 Ru
3.616 0.000 3.710 Ru
-0.445 1.468 2.241 Co
0.841 0.000 3.687 Co
-0.395 1.468 5.681 In
3.580 0.000 0.252 In
```

Energy of formation ... 0.21 eV/atom
Size of the total moment ... 0.9 μB per formula unit
Polymorph energy (0 for the lowest one) ... 29 meV per atom
Crystal system ... monoclinic
Symmetry ... No. 6

***

2.
Entry from Alexandria via LeMat-Bulk: InCoRu after structural relaxation (PBE).

Geometry as POSCAR:
```
InCoRu
1.0
-1.292 3.504 -2.053
2.129 -3.037 -2.100
-2.573 -1.341 -0.669
Co In Ru
1 1 1
Cartesian
-2.354 -1.227 -0.612 Co
-0.952 0.907 -2.277 In
-1.004 -1.895 -2.603 Ru
```

Energy of formation ... 0.29 eV/atom
Size of the total moment ... 2.7 μB per formula unit
Polymorph energy (0 for the lowest one) ... 112 meV per atom
Crystal system ... trigonal
Symmetry ... No. 156

***

3.
Entry from Alexandria via LeMat-Bulk: InCoSnRu after structural relaxation (PBE).

Geometry as POSCAR:
```
InCoSnRu
1.0
4.503 0.000 0.000
2.251 3.900 0.000
2.251 1.300 3.677
Ru Co Sn In
1 1 1 1
Cartesian
6.754 3.900 2.757 Ru
2.251 1.300 0.919 Co
4.503 2.600 1.838 Sn
0.000 0.000 0.000 In
```

Energy of formation ... 0.07 eV/atom
Size of the total moment ... 0.2 μB per formula unit
Crystal system ... cubic
Symmetry ... No. 216

***

4.
Entry from Alexandria via LeMat-Bulk: TbInCoRu after structural relaxation (PBE).

Geometry as POSCAR:
```
TbInCoRu
1.0
-3.352 -1.176 -2.975
-3.571 -2.581 1.435
-4.214 1.888 0.392
Ru Co Tb In
1 1 1 1
Cartesian
-2.784 -0.467 -0.287 Ru
-8.353 -1.402 -0.861 Co
-5.569 -0.935 -0.574 Tb
0.000 0.000 0.000 In
```

Energy of formation ... -0.11 eV/atom
Size of the total moment ... 0.0 μB per formula unit
Crystal system ... cubic
Symmetry ... No. 216

***

5.
Entry from Alexandria via LeMat-Bulk: ThInCoRu after structural relaxation (PBE).

Geometry as POSCAR:
```
ThInCoRu
1.0
-0.572 3.399 -3.267
-4.364 1.197 -1.442
-1.842 4.198 1.239
Ru Co Th In
1 1 1 1
Cartesian
-3.389 4.397 -1.735 Ru
0.000 0.000 0.000 Co
-1.695 2.198 -0.868 Th
-5.084 6.595 -2.603 In
```

Energy of formation ... -0.20 eV/atom
Size of the total moment ... 0.0 μB per formula unit
Crystal system ... cubic
Symmetry ... No. 216

***

6.
Entry from Alexandria via LeMat-Bulk: Tm5In2CoRu2 after structural relaxation (PBE).

Geometry as POSCAR:
```
Tm5In2CoRu2
1.0
3.398 0.000 0.000
0.000 11.496 0.000
0.000 0.000 11.496
Tm In Co Ru
10 4 2 4
Cartesian
1.699 2.235 0.697 Tm
1.699 9.261 10.800 Tm
1.699 0.697 9.261 Tm
1.699 7.983 5.052 Tm
1.699 10.800 2.235 Tm
1.699 3.513 6.445 Tm
1.699 6.445 7.983 Tm
1.699 5.052 3.513 Tm
1.699 5.748 0.000 Tm
1.699 0.000 5.748 Tm
0.000 7.836 2.088 In
0.000 3.660 9.409 In
0.000 2.088 3.660 In
0.000 9.409 7.836 In
0.000 0.000 0.000 Co
0.000 5.748 5.748 Co
0.000 1.577 7.325 Ru
0.000 9.919 4.171 Ru
0.000 7.325 9.919 Ru
0.000 4.171 1.577 Ru
```

Energy of formation ... -0.30 eV/atom
Size of the total moment ... 0.3 μB per formula unit
Crystal system ... tetragonal
Symmetry ... No. 127

***

7.
Entry from Alexandria via LeMat-Bulk: UInCoRu after structural relaxation (PBE).

Geometry as POSCAR:
```
UInCoRu
1.0
-2.479 -1.130 -3.743
-2.248 -4.044 -0.153
-4.623 -0.089 0.226
Ru Co U In
1 1 1 1
Cartesian
-4.675 -2.631 -1.835 Ru
0.000 0.000 0.000 Co
-7.012 -3.947 -2.753 U
-2.337 -1.316 -0.918 In
```

Energy of formation ... -0.06 eV/atom
Size of the total moment ... 1.6 μB per formula unit
Crystal system ... cubic
Symmetry ... No. 216

***

8.
Entry from Alexandria via LeMat-Bulk: YInCoRu after structural relaxation (PBE).

Geometry as POSCAR:
```
YInCoRu
1.0
4.635 0.000 0.000
2.318 4.014 0.000
2.318 1.338 3.785
Y Ru Co In
1 1 1 1
Cartesian
4.635 2.676 1.892 Y
6.953 4.014 2.838 Ru
2.318 1.338 0.946 Co
0.000 0.000 0.000 In
```

Energy of formation ... -0.10 eV/atom
Size of the total moment ... 0.0 μB per formula unit
Crystal system ... cubic
Symmetry ... No. 216